Entry 1:
Below is Cs4U3PbS12 after structural relaxation, with properties calculated at the PBE-GGA level.

Lattice parameters (Å, degrees): 9.1919 9.1919 9.1919 109.47 109.47 109.47
Fractional positions:
Cs 0.0000 0.0000 0.5000
Cs 0.0000 0.5000 0.0000
Cs 0.5000 0.0000 0.0000
Cs 0.5000 0.5000 0.5000
U 0.0000 0.5000 0.5000
U 0.5000 0.0000 0.5000
U 0.5000 0.5000 0.0000
Pb 0.0000 0.0000 0.0000
S 0.0000 0.2702 0.2702
S 0.0000 0.7298 0.7298
S 0.2500 0.5000 0.7500
S 0.2500 0.7500 0.5000
S 0.2702 0.0000 0.2702
S 0.2702 0.2702 0.0000
S 0.5000 0.2500 0.7500
S 0.5000 0.7500 0.2500
S 0.7298 0.0000 0.7298
S 0.7298 0.7298 0.0000
S 0.7500 0.2500 0.5000
S 0.7500 0.5000 0.2500

Results
As for the space-group type: Im-3m. The uncorrected formation energy is -1.19 eV/atom. The total energy is -5.7180 eV/atom.


Entry 2:
Below is Cs2VPbS4 after structural relaxation, with properties calculated at the PBE-GGA level.

Lattice parameters (Å, degrees): 14.3390 12.9632 7.8277 83.29 63.88 32.83
Fractional positions:
Cs 0.0556 0.0556 0.6944
Cs 0.3056 0.3056 0.9444
Cs 0.6944 0.6944 0.0556
Cs 0.9444 0.9444 0.3056
V 0.3750 0.3750 0.3750
V 0.6250 0.6250 0.6250
Pb 0.1250 0.1250 0.1250
Pb 0.8750 0.8750 0.8750
S 0.0386 0.6117 0.5290
S 0.3207 0.5290 0.6117
S 0.3883 0.9614 0.6793
S 0.4710 0.6793 0.9614
S 0.5290 0.3207 0.0386
S 0.6117 0.0386 0.3207
S 0.6793 0.4710 0.3883
S 0.9614 0.3883 0.4710

Results
As for the space-group type: Fddd. The uncorrected formation energy is -0.88 eV/atom. The total energy is -4.7558 eV/atom.